This record from Alexandria describes a relaxed structure of SiAsPtBr2. The functional is PBE.

Cell and atoms, written as POSCAR:
```
SiAsPtBr2
1.0
4.780 0.000 0.000
0.000 4.780 0.000
0.000 0.000 5.188
Si As Pt Br
1 1 1 2
Cartesian
0.000 0.000 0.000 Si
0.000 0.000 2.594 As
2.390 2.390 2.594 Pt
0.000 2.390 0.000 Br
2.390 0.000 0.000 Br
```

Spin magnetization = 0.6 μB/cell
Density of states at the Fermi level = 4.501 states/eV/f.u.
ΔE to the lowest computed polymorph = 1.01 eV per formula unit
Energy relative to the elements, uncorrected = 0.82 eV per atom

=====

This record from Alexandria describes a relaxed structure of LiCeAlSn. The functional is PBE.

Cell and atoms, written as POSCAR:
```
LiCeAlSn
1.0
0.000 3.592 3.592
3.592 0.000 3.592
3.592 3.592 0.000
Li Ce Al Sn
1 1 1 1
Cartesian
0.000 0.000 0.000 Li
3.592 3.592 3.592 Ce
5.387 5.387 5.387 Al
1.796 1.796 1.796 Sn
```

Spin magnetization = 0.8 μB/cell
Density of states at the Fermi level = 5.035 states/eV/f.u.
ΔH_f (0 K) = -0.30 eV/atom

=====

This record from Alexandria describes a relaxed structure of NaSr2ScPt. The functional is PBE.

Cell and atoms, written as POSCAR:
```
NaSr2ScPt
1.0
5.828 0.000 0.000
0.000 5.828 0.000
0.000 0.000 5.503
Na Sr Sc Pt
1 2 1 1
Cartesian
0.000 0.000 0.000 Na
0.000 2.914 2.752 Sr
2.914 0.000 2.752 Sr
2.914 2.914 0.000 Sc
0.000 0.000 2.752 Pt
```

Spin magnetization = 0.1 μB/cell
Density of states at the Fermi level = 4.897 states/eV/f.u.
ΔE to the lowest computed polymorph = 2.11 eV per formula unit
ΔH_f (0 K) = 0.09 eV/atom

=====

no.,electronic total energy (eV for the cell shown)
1,-15.35
2,-16.78
3,-16.61